HoTmBr2 | PBE | relaxed

Cell and atoms, written as extended XYZ:
```
4
Lattice="1.8127 1.0466 9.9371 -1.8127 1.0466 9.9371 0.0000 -2.0932 9.9371" Properties=species:S:1:pos:R:3 pbc="T T T"
Ho 0.0000 0.0000 0.0000
Tm 0.0000 0.0000 14.9056
Br 0.0000 0.0000 12.0421
Br 0.0000 0.0000 17.7691
```

Calculated values
- Density of states at the Fermi level: 2.207 states/eV/cell
- Theoretical density: 7.25 g cm⁻³
- VASP energy: -4.039 eV per atom